## CdIr3 (GGA-PBEsol)

Data for CdIr3 after structural relaxation.

**ΔE_f**: 0.19 eV per atom
**Crystal system**: monoclinic
**DFT total energy**: -7.476 eV per atom
**Space-group type**: C2/m (12)

```
CdIr3
1.0
9.128 0.000 0.000
0.000 2.764 0.000
-0.810 0.000 4.786
Cd Ir
2 6
direct
0.000 0.000 0.000
0.500 0.500 0.000
0.000 0.500 0.500
0.242 0.000 0.731
0.258 0.500 0.269
0.500 0.000 0.500
0.742 0.500 0.731
0.758 0.000 0.269
```

## Ge7H8N2O15 (GGA-PBEsol)

Data for Ge7H8N2O15 after structural relaxation.

**Crystal system**: monoclinic
**DFT total energy**: -6.217 eV per atom
**Space-group type**: C2/c (15)

```
Ge7H8N2O15
1.0
6.540 -3.625 0.000
6.540 3.625 0.000
-3.561 0.000 14.800
Ge H N O
14 16 4 30
direct
0.000 0.500 0.500
0.059 0.851 0.647
0.137 0.230 0.124
0.149 0.941 0.853
0.230 0.137 0.624
0.235 0.286 0.837
0.286 0.235 0.337
0.500 0.000 0.000
0.714 0.765 0.663
0.765 0.714 0.163
0.770 0.863 0.376
0.851 0.059 0.147
0.863 0.770 0.876
0.941 0.149 0.353
0.210 0.636 0.112
0.252 0.575 0.003
0.311 0.624 0.422
0.364 0.790 0.388
0.376 0.689 0.078
0.423 0.449 0.579
0.425 0.748 0.497
0.449 0.423 0.079
0.551 0.577 0.921
0.575 0.252 0.503
0.577 0.551 0.421
0.624 0.311 0.922
0.636 0.210 0.612
0.689 0.376 0.578
0.748 0.425 0.997
0.790 0.364 0.888
0.325 0.581 0.069
0.419 0.675 0.431
0.581 0.325 0.569
0.675 0.419 0.931
0.023 0.085 0.617
0.047 0.209 0.834
0.085 0.023 0.117
0.131 0.477 0.399
0.134 0.552 0.885
0.160 0.627 0.570
0.209 0.047 0.334
0.222 0.778 0.750
0.226 0.235 0.530
0.235 0.226 0.030
0.268 0.285 0.226
0.285 0.268 0.726
0.373 0.840 0.930
0.448 0.866 0.615
0.477 0.131 0.899
0.523 0.869 0.101
0.552 0.134 0.385
0.627 0.160 0.070
0.715 0.732 0.274
0.732 0.715 0.774
0.765 0.774 0.970
0.774 0.765 0.470
0.778 0.222 0.250
0.791 0.953 0.666
0.840 0.373 0.430
0.866 0.448 0.115
0.869 0.523 0.601
0.915 0.977 0.883
0.953 0.791 0.166
0.977 0.915 0.383
```

## ZnAgAu2 (GGA-PBEsol)

Data for ZnAgAu2 after structural relaxation.

**ΔE_f**: -0.13 eV per atom
**Crystal system**: tetragonal
**DFT total energy**: -3.315 eV per atom
**Space-group type**: I4/mmm (139)

```
ZnAgAu2
1.0
4.072 0.000 0.000
0.000 4.072 0.000
0.000 0.000 7.738
Zn Ag Au
2 2 4
direct
0.000 0.000 0.000
0.500 0.500 0.500
0.000 0.000 0.500
0.500 0.500 0.000
0.000 0.500 0.250
0.000 0.500 0.750
0.500 0.000 0.250
0.500 0.000 0.750
```

## CdNiW2 (GGA-PBEsol)

Data for CdNiW2 after structural relaxation.

**ΔE_f**: 0.52 eV per atom
**Crystal system**: monoclinic
**DFT total energy**: -8.220 eV per atom
**Space-group type**: C2/m (12)

```
CdNiW2
1.0
5.223 0.000 0.000
0.000 9.042 0.000
-0.686 0.000 2.572
Cd Ni W
2 2 4
direct
0.000 0.000 0.000
0.500 0.500 0.000
0.000 0.500 0.000
0.500 0.000 0.000
0.250 0.250 0.500
0.250 0.750 0.500
0.750 0.250 0.500
0.750 0.750 0.500
```

## LaAl2O2 (GGA-PBEsol)

Data for LaAl2O2 after structural relaxation.

**Crystal system**: tetragonal
**DFT total energy**: -5.919 eV per atom
**E_form (uncorrected)**: -1.113 eV/atom
**Space-group type**: P4/mbm (127)

```
LaAl2O2
1.0
7.610 0.000 0.000
0.000 7.610 0.000
0.000 0.000 3.009
La Al O
2 4 4
direct
0.000 0.000 0.000
0.500 0.500 0.000
0.114 0.386 0.000
0.386 0.886 0.000
0.614 0.114 0.000
0.886 0.614 0.000
0.208 0.292 0.500
0.292 0.792 0.500
0.708 0.208 0.500
0.792 0.708 0.500
```

## NaHoO2 (GGA-PBEsol)

Data for NaHoO2 after structural relaxation.

**Crystal system**: trigonal
**DFT total energy**: -7.071 eV per atom
**E_form (uncorrected)**: -2.859 eV/atom
**Space-group type**: R-3m (166)

```
NaHoO2
1.0
3.367 0.000 0.000
-1.683 2.916 0.000
0.000 0.000 16.485
Na Ho O
3 3 6
direct
0.000 0.000 0.000
0.333 0.667 0.667
0.667 0.333 0.333
0.000 0.000 0.500
0.333 0.667 0.167
0.667 0.333 0.833
0.000 0.000 0.237
0.000 0.000 0.763
0.333 0.667 0.430
0.333 0.667 0.904
0.667 0.333 0.096
0.667 0.333 0.570
```

## Sr2Li2Ca (GGA-PBEsol)

Data for Sr2Li2Ca after structural relaxation.

**ΔE_f**: 0.07 eV per atom
**Crystal system**: tetragonal
**E above lowest polymorph**: 0.26 eV/f.u.
**DFT total energy**: -1.876 eV per atom
**Space-group type**: I4/mmm (139)

```
Sr2Li2Ca
1.0
3.995 0.000 0.000
0.000 3.995 0.000
0.000 0.000 23.619
Sr Li Ca
4 4 2
direct
0.000 0.000 0.124
0.000 0.000 0.876
0.500 0.500 0.376
0.500 0.500 0.624
0.000 0.500 0.250
0.000 0.500 0.750
0.500 0.000 0.250
0.500 0.000 0.750
0.000 0.000 0.500
0.500 0.500 0.000
```

## LaZn2Ru (GGA-PBEsol)

Data for LaZn2Ru after structural relaxation.

**ΔE_f**: 0.25 eV per atom
**Crystal system**: trigonal
**DFT total energy**: -4.418 eV per atom
**Space-group type**: R-3m (166)

```
LaZn2Ru
1.0
2.919 0.000 0.000
-1.459 2.528 0.000
0.000 0.000 28.591
La Zn Ru
3 6 3
direct
0.000 0.000 0.000
0.333 0.667 0.667
0.667 0.333 0.333
0.000 0.000 0.236
0.000 0.000 0.764
0.333 0.667 0.430
0.333 0.667 0.903
0.667 0.333 0.097
0.667 0.333 0.570
0.000 0.000 0.500
0.333 0.667 0.167
0.667 0.333 0.833
```

## KSr2TaI (GGA-PBEsol)

Data for KSr2TaI after structural relaxation.

**Crystal system**: tetragonal
**DFT total energy**: -2.367 eV per atom
**E_form (uncorrected)**: 1.459 eV/atom
**Space-group type**: P4/mmm (123)

```
KSr2TaI
1.0
6.255 0.000 0.000
0.000 6.255 0.000
0.000 0.000 5.011
K Sr Ta I
1 2 1 1
direct
0.000 0.000 0.000
0.000 0.500 0.000
0.500 0.000 0.000
0.000 0.000 0.500
0.500 0.500 0.500
```

## Zr2Fe3Si (GGA-PBEsol)

Data for Zr2Fe3Si after structural relaxation.

**Crystal system**: hexagonal
**DFT total energy**: -9.050 eV per atom
**E_form (uncorrected)**: -0.581 eV/atom
**Space-group type**: P6_3/mmc (194)

```
Zr2Fe3Si
1.0
4.919 0.000 0.000
-2.459 4.260 0.000
0.000 0.000 7.905
Zr Fe Si
4 6 2
direct
0.333 0.667 0.064
0.333 0.667 0.436
0.667 0.333 0.564
0.667 0.333 0.936
0.170 0.340 0.750
0.170 0.830 0.750
0.340 0.170 0.250
0.660 0.830 0.750
0.830 0.170 0.250
0.830 0.660 0.250
0.000 0.000 0.000
0.000 0.000 0.500
```

## TaTlTcF2 (GGA-PBEsol)

Data for TaTlTcF2 after structural relaxation.

**Crystal system**: tetragonal
**DFT total energy**: -6.933 eV per atom
**E_form (uncorrected)**: -0.873 eV/atom
**Space-group type**: P4/mmm (123)

```
TaTlTcF2
1.0
4.001 0.000 0.000
0.000 4.001 0.000
0.000 0.000 5.143
Ta Tl Tc F
1 1 1 2
direct
0.000 0.000 0.000
0.500 0.500 0.500
0.000 0.000 0.500
0.000 0.500 0.000
0.500 0.000 0.000
```

## LiCoBAs2 (GGA-PBEsol)

Data for LiCoBAs2 after structural relaxation.

**ΔE_f**: 0.87 eV per atom
**Crystal system**: tetragonal
**DFT total energy**: -4.513 eV per atom
**Space-group type**: P4/mmm (123)

```
LiCoBAs2
1.0
4.345 0.000 0.000
0.000 4.345 0.000
0.000 0.000 4.376
Li Co B As
1 1 1 2
direct
0.000 0.000 0.000
0.000 0.000 0.500
0.500 0.500 0.000
0.000 0.500 0.500
0.500 0.000 0.500
```

## MoOsBr (GGA-PBEsol)

Data for MoOsBr after structural relaxation.

**Crystal system**: orthorhombic
**E above lowest polymorph**: 0.00 eV/f.u.
**DFT total energy**: -7.761 eV per atom
**E_form (uncorrected)**: 0.857 eV/atom
**Space-group type**: Fmm2 (42)

```
MoOsBr
1.0
2.907 0.000 0.000
0.000 4.890 0.000
0.000 0.000 14.335
Mo Os Br
4 4 4
direct
0.000 0.000 0.000
0.000 0.500 0.500
0.500 0.000 0.500
0.500 0.500 0.000
0.000 0.000 0.357
0.000 0.500 0.857
0.500 0.000 0.857
0.500 0.500 0.357
0.000 0.000 0.662
0.000 0.500 0.162
0.500 0.000 0.162
0.500 0.500 0.662
```

## TlCoCl2 (GGA-PBEsol)

Data for TlCoCl2 after structural relaxation.

**Crystal system**: orthorhombic
**DFT total energy**: -3.705 eV per atom
**E_form (uncorrected)**: -0.110 eV/atom
**Space-group type**: Imm2 (44)

```
TlCoCl2
1.0
3.308 0.000 0.000
0.000 5.636 0.000
0.000 0.000 8.923
Tl Co Cl
2 2 4
direct
0.000 0.000 0.000
0.500 0.500 0.500
0.000 0.500 0.744
0.500 0.000 0.244
0.000 0.000 0.414
0.000 0.500 0.238
0.500 0.000 0.738
0.500 0.500 0.914
```

## BeNi2Ru (GGA-PBEsol)

Data for BeNi2Ru after structural relaxation.

**ΔE_f**: -0.03 eV per atom
**Crystal system**: orthorhombic
**DFT total energy**: -6.654 eV per atom
**Space-group type**: Amm2 (38)

```
BeNi2Ru
1.0
3.701 0.000 0.000
0.000 2.489 0.000
0.000 0.000 9.202
Be Ni Ru
2 4 2
direct
0.000 0.000 0.000
0.000 0.500 0.500
0.000 0.000 0.256
0.000 0.500 0.756
0.500 0.000 0.875
0.500 0.500 0.375
0.500 0.000 0.613
0.500 0.500 0.113
```

## Cu2HgBr (GGA-PBEsol)

Data for Cu2HgBr after structural relaxation.

**Crystal system**: tetragonal
**E above lowest polymorph**: 0.70 eV/f.u.
**DFT total energy**: -2.533 eV per atom
**E_form (uncorrected)**: 0.243 eV/atom
**Space-group type**: P4/mmm (123)

```
Cu2HgBr
1.0
3.375 0.000 0.000
0.000 3.375 0.000
0.000 0.000 6.233
Cu Hg Br
2 1 1
direct
0.000 0.000 0.201
0.000 0.000 0.799
0.500 0.500 0.000
0.500 0.500 0.500
```

## SiMoRu2 (GGA-PBEsol)

Data for SiMoRu2 after structural relaxation.

**Crystal system**: orthorhombic
**DFT total energy**: -9.763 eV per atom
**E_form (uncorrected)**: -0.298 eV/atom
**Space-group type**: Immm (71)

```
SiMoRu2
1.0
2.854 0.000 0.000
0.000 4.394 0.000
0.000 0.000 8.525
Si Mo Ru
2 2 4
direct
0.000 0.000 0.000
0.500 0.500 0.500
0.000 0.000 0.500
0.500 0.500 0.000
0.000 0.500 0.275
0.000 0.500 0.725
0.500 0.000 0.225
0.500 0.000 0.775
```

## Mn2AlSe (GGA-PBEsol)

Data for Mn2AlSe after structural relaxation.

**Crystal system**: tetragonal
**E above lowest polymorph**: 0.00 eV/f.u.
**DFT total energy**: -6.843 eV per atom
**E_form (uncorrected)**: 0.023 eV/atom
**Space-group type**: P4mm (99)

```
Mn2AlSe
1.0
2.824 0.000 0.000
0.000 2.824 0.000
0.000 0.000 7.070
Mn Al Se
2 1 1
direct
0.000 0.000 0.000
0.500 0.500 0.208
0.500 0.500 0.798
0.000 0.000 0.398
```

## CrIr4 (GGA-PBEsol)

Data for CrIr4 after structural relaxation.

**ΔE_f**: -0.13 eV per atom
**Crystal system**: tetragonal
**DFT total energy**: -10.033 eV per atom
**Space-group type**: I4/m (87)

```
CrIr4
1.0
5.985 0.000 0.000
0.000 5.985 0.000
0.000 0.000 3.775
Cr Ir
2 8
direct
0.000 0.000 0.000
0.500 0.500 0.500
0.103 0.706 0.500
0.206 0.397 0.000
0.294 0.103 0.500
0.397 0.794 0.000
0.603 0.206 0.000
0.706 0.897 0.500
0.794 0.603 0.000
0.897 0.294 0.500
```

## YIn (GGA-PBEsol)

Data for YIn after structural relaxation.

**ΔE_f**: -0.56 eV per atom
**Crystal system**: cubic
**DFT total energy**: -5.459 eV per atom
**Space-group type**: Pm-3m (221)

```
YIn
1.0
3.698 0.000 0.000
0.000 3.698 0.000
0.000 0.000 3.698
Y In
1 1
direct
0.000 0.000 0.000
0.500 0.500 0.500
```